DFT (PBE) results for crystalline TcS4O at its relaxed geometry.

**Mass density**: 3.08 Mg/m³
**Formation energy (no corrections)**: -351 meV/atom
**Crystal system**: triclinic
**M_tot**: 0.000 μB per cell

Cell: 6.1040 7.2346 7.3467 Å, 117.77 100.66 103.85°
Element x y z (fractional)
Tc1 0.2169 0.9996 0.9997
Tc2 0.7831 0.0004 0.0003
S1 0.0155 0.8971 0.2004
S2 0.1541 0.3488 0.2492
S3 0.4084 0.9030 0.7118
S4 0.4426 0.7672 0.0400
S5 0.5574 0.2328 0.9600
S6 0.5916 0.0970 0.2882
S7 0.8459 0.6512 0.7508
S8 0.9845 0.1029 0.7996
O1 0.2294 0.4303 0.4890
O2 0.7706 0.5697 0.5110

DFT (PBE) results for crystalline Pr6Sm5Ho2 at its relaxed geometry.

**Mass density**: 7.04 Mg/m³
**Crystal system**: orthorhombic
**M_tot**: 0.000 μB per cell
**ΔE_f**: 0.0949 eV per atom

Cell: 11.8396 20.9871 3.6589 Å, 90.00 90.00 90.00°
Element x y z (fractional)
Pr1 0.0618 0.0807 0.0000
Pr2 0.0831 0.3679 0.0000
Pr3 0.1742 0.6375 0.5000
Pr4 0.3258 0.1375 0.5000
Pr5 0.4169 0.8679 0.0000
Pr6 0.4382 0.5807 0.0000
Pr7 0.5618 0.4193 0.0000
Pr8 0.5831 0.1321 0.0000
Pr9 0.6742 0.8625 0.5000
Pr10 0.8258 0.3625 0.5000
Pr11 0.9169 0.6321 0.0000
Pr12 0.9382 0.9193 0.0000
Sm1 0.0000 0.5000 0.5000
Sm2 0.0892 0.2270 0.5000
Sm3 0.1974 0.9444 0.5000
Sm4 0.3026 0.4444 0.5000
Sm5 0.4108 0.7270 0.5000
Sm6 0.5000 0.0000 0.5000
Sm7 0.5892 0.2730 0.5000
Sm8 0.6974 0.5556 0.5000
Sm9 0.8026 0.0556 0.5000
Sm10 0.9108 0.7730 0.5000
Ho1 0.1681 0.7897 0.0000
Ho2 0.3319 0.2897 0.0000
Ho3 0.6681 0.7103 0.0000
Ho4 0.8319 0.2103 0.0000

DFT (PBE) results for crystalline TaTlZn2Bi at its relaxed geometry.

**Mass density**: 8.56 Mg/m³
**Crystal system**: tetragonal
**M_tot**: 0.000 μB per cell
**ΔE_f**: 0.9022 eV per atom

Cell: 5.0886 5.0886 5.4314 Å, 90.00 90.00 90.00°
Element x y z (fractional)
Ta1 0.0000 0.0000 0.0000
Tl1 0.0000 0.0000 0.5000
Zn1 0.0000 0.5000 0.0000
Zn2 0.5000 0.0000 0.0000
Bi1 0.5000 0.5000 0.5000

DFT (PBE) results for crystalline Nb3PC at its relaxed geometry.

**Mass density**: 6.20 Mg/m³
**Crystal system**: orthorhombic
**M_tot**: 0.000 μB per cell
**ΔE_f**: -0.0371 eV per atom

Cell: 6.0467 9.7400 5.8482 Å, 90.00 90.00 90.00°
Element x y z (fractional)
Nb1 0.0451 0.2500 0.0983
Nb2 0.1450 0.0854 0.6295
Nb3 0.1450 0.4146 0.6295
Nb4 0.3550 0.5854 0.1295
Nb5 0.3550 0.9146 0.1295
Nb6 0.4549 0.7500 0.5983
Nb7 0.5451 0.2500 0.4017
Nb8 0.6450 0.0854 0.8705
Nb9 0.6450 0.4146 0.8705
Nb10 0.8550 0.5854 0.3705
Nb11 0.8550 0.9146 0.3705
Nb12 0.9549 0.7500 0.9017
P1 0.0000 0.0000 0.0000
P2 0.0000 0.5000 0.0000
P3 0.5000 0.0000 0.5000
P4 0.5000 0.5000 0.5000
C1 0.1966 0.2500 0.4168
C2 0.3034 0.7500 0.9168
C3 0.6966 0.2500 0.0832
C4 0.8034 0.7500 0.5832